Entry from the Alexandria database: crystalline CuHg2 at its relaxed geometry (PBE).

Results
Calculated formation energy in eV per atom: 0.177
Size of the total moment in μB per atom: 0.000
Mass density in Mg/m³: 12.8
DFT total energy in eV/atom: -1.390

```
data_CuHg2
_space_group_name_H-M_alt 'P 1'
_space_group_IT_number 1
_space_group_name_Hall 'P 1'
_cell_length_a 12.746
_cell_length_b 12.746
_cell_length_c 12.746
_cell_angle_alpha 166.04
_cell_angle_beta 166.04
_cell_angle_gamma 19.79
loop_
_atom_site_label
_atom_site_type_symbol
_atom_site_fract_x
_atom_site_fract_y
_atom_site_fract_z
Cu1 Cu 0.375 0.625 0.750
Cu2 Cu 0.625 0.375 0.250
Hg1 Hg 0.053 0.803 0.250
Hg2 Hg 0.197 0.947 0.250
Hg3 Hg 0.803 0.053 0.750
Hg4 Hg 0.947 0.197 0.750
```